Below is a relaxed Sr3Cd9Pd2 crystal, with properties calculated at the PBE level.

Cell lengths 9.071, 9.071, 9.071 Å; angles 149.22, 108.13, 80.19 degrees
Fractional positions:
Sr 0.000 0.000 0.000
Sr 0.313 0.313 0.000
Sr 0.687 0.687 0.000
Cd 0.023 0.663 0.360
Cd 0.159 0.879 0.280
Cd 0.303 0.663 0.640
Cd 0.402 0.121 0.280
Cd 0.500 0.000 0.500
Cd 0.598 0.879 0.720
Cd 0.697 0.337 0.360
Cd 0.841 0.121 0.720
Cd 0.977 0.337 0.640
Pd 0.306 0.500 0.806
Pd 0.694 0.500 0.194

## Properties
electronic total energy: -28.54 eV for the cell shown
M_tot: 0.000 μB per formula unit
formation enthalpy at 0 K: -33.6 kJ per mole of atoms

Below is a relaxed SrIn2FeIr crystal, with properties calculated at the PBE level.

Cell lengths 4.948, 4.948, 4.748 Å; angles 90.00, 90.00, 90.00 degrees
Fractional positions:
Sr 0.000 0.000 0.000
In 0.000 0.500 0.500
In 0.500 0.000 0.500
Fe 0.500 0.500 0.500
Ir 0.500 0.500 0.000

## Properties
electronic total energy: -23.50 eV for the cell shown
M_tot: 0.892 μB per formula unit
formation enthalpy at 0 K: 19.0 kJ per mole of atoms

Below is a relaxed NaCaTl2F crystal, with properties calculated at the PBE level.

Cell lengths 6.000, 6.000, 4.000 Å; angles 90.00, 90.00, 90.00 degrees
Fractional positions:
Na 0.000 0.000 0.000
Ca 0.500 0.500 0.500
Tl 0.000 0.500 0.000
Tl 0.500 0.000 0.000
F 0.000 0.000 0.500

## Properties
electronic total energy: -13.53 eV for the cell shown
M_tot: 0.000 μB per formula unit
raw formation energy: -721 meV/atom

Below is a relaxed DyAl2GaPd2 crystal, with properties calculated at the PBE level.

Cell lengths 4.619, 4.619, 5.596 Å; angles 90.00, 90.00, 90.00 degrees
Fractional positions:
Dy 0.000 0.000 0.000
Al 0.000 0.500 0.500
Al 0.500 0.000 0.500
Ga 0.000 0.000 0.500
Pd 0.500 0.500 0.246
Pd 0.500 0.500 0.754

## Properties
electronic total energy: -26.65 eV for the cell shown
M_tot: 0.000 μB per formula unit
formation enthalpy at 0 K: -18.5 kJ per mole of atoms